[1]
An optimized crystal structure of TbDy2Ag3Te6. Source: the Alexandria database, functional PBE.

Values from the calculation:
SG: No. 12
formation energy from raw total energies: -844.0 meV/atom
final energy: -4.281 eV/atom
total magnetic moment: 0.00 μB per atom

a b c (Å): 10.221 10.221 8.449
angles (deg): 103.00 103.00 24.81
Atoms (fractional coordinates):
Tb: 0.000 0.000 0.000
Dy: 0.326 0.326 0.693
Dy: 0.674 0.674 0.307
Ag: 0.000 0.000 0.500
Ag: 0.295 0.295 0.220
Ag: 0.705 0.705 0.780
Te: 0.159 0.159 0.040
Te: 0.165 0.165 0.567
Te: 0.485 0.485 0.736
Te: 0.515 0.515 0.264
Te: 0.835 0.835 0.433
Te: 0.841 0.841 0.960

---

[2]
An optimized crystal structure of Tb2DyAg3Te6. Source: the Alexandria database, functional PBE.

Values from the calculation:
SG: No. 12
formation energy from raw total energies: -847.0 meV/atom
final energy: -4.286 eV/atom
total magnetic moment: 0.00 μB per atom

a b c (Å): 10.206 10.206 8.463
angles (deg): 103.00 103.00 24.87
Atoms (fractional coordinates):
Tb: 0.173 0.173 0.307
Tb: 0.827 0.827 0.693
Dy: 0.500 0.500 0.000
Ag: 0.206 0.206 0.778
Ag: 0.500 0.500 0.500
Ag: 0.794 0.794 0.222
Te: 0.014 0.014 0.262
Te: 0.336 0.336 0.432
Te: 0.342 0.342 0.961
Te: 0.658 0.658 0.039
Te: 0.664 0.664 0.568
Te: 0.986 0.986 0.738

---

[3]
An optimized crystal structure of Tb2DyAgTe5. Source: the Alexandria database, functional PBE.

Values from the calculation:
SG: No. 36
formation energy from raw total energies: -1106.6 meV/atom
final energy: -4.709 eV/atom
total magnetic moment: 0.00 μB per atom

a b c (Å): 9.564 9.564 13.266
angles (deg): 90.00 90.00 153.86
Atoms (fractional coordinates):
Tb: 0.112 0.888 0.500
Tb: 0.126 0.874 0.117
Tb: 0.874 0.126 0.617
Tb: 0.888 0.112 0.000
Dy: 0.191 0.809 0.823
Dy: 0.809 0.191 0.323
Ag: 0.433 0.567 0.276
Ag: 0.567 0.433 0.776
Te: 0.041 0.959 0.895
Te: 0.286 0.714 0.484
Te: 0.307 0.693 0.153
Te: 0.358 0.642 0.814
Te: 0.498 0.502 0.595
Te: 0.502 0.498 0.095
Te: 0.642 0.358 0.314
Te: 0.693 0.307 0.653
Te: 0.714 0.286 0.984
Te: 0.959 0.041 0.395

---

[4]
An optimized crystal structure of TbDy2Tl2Ag2. Source: the Alexandria database, functional PBE.

Values from the calculation:
SG: No. 166
final energy: -3.616 eV/atom
total magnetic moment: 0.00 μB per atom
energy of formation from the pure elements: -0.149 eV per atom

a b c (Å): 9.044 9.044 9.044
angles (deg): 31.50 31.50 31.50
Atoms (fractional coordinates):
Tb: 0.000 0.000 0.000
Dy: 0.132 0.132 0.132
Dy: 0.868 0.868 0.868
Tl: 0.266 0.266 0.266
Tl: 0.734 0.734 0.734
Ag: 0.433 0.433 0.433
Ag: 0.567 0.567 0.567

---

[5]
An optimized crystal structure of TbDyTmAg. Source: the Alexandria database, functional PBE.

Values from the calculation:
SG: No. 99
E above lowest polymorph: 0 meV per atom
final energy: -4.274 eV/atom
total magnetic moment: 0.00 μB per atom
energy of formation from the pure elements: -0.135 eV per atom

a b c (Å): 3.542 3.542 8.843
angles (deg): 90.00 90.00 90.00
Atoms (fractional coordinates):
Tb: 0.000 0.000 0.000
Dy: 0.500 0.500 0.712
Tm: 0.500 0.500 0.285
Ag: 0.000 0.000 0.491

---

[6]
An optimized crystal structure of TbDyTmAg. Source: the Alexandria database, functional PBE.

Values from the calculation:
SG: No. 216
E above lowest polymorph: 183 meV per atom
final energy: -4.090 eV/atom
total magnetic moment: 0.00 μB per atom
energy of formation from the pure elements: 0.048 eV per atom

a b c (Å): 5.354 5.354 5.354
angles (deg): 60.00 60.00 60.00
Atoms (fractional coordinates):
Tb: 0.000 0.000 0.000
Dy: 0.500 0.500 0.500
Tm: 0.750 0.750 0.750
Ag: 0.250 0.250 0.250

---

[7]
An optimized crystal structure of TbDyZnAg. Source: the Alexandria database, functional PBE.

Values from the calculation:
SG: No. 216
final energy: -3.659 eV/atom
total magnetic moment: 0.00 μB per atom
energy of formation from the pure elements: -0.320 eV per atom

a b c (Å): 5.109 5.109 5.109
angles (deg): 60.00 60.00 60.00
Atoms (fractional coordinates):
Tb: 0.000 0.000 0.000
Dy: 0.500 0.500 0.500
Zn: 0.250 0.250 0.250
Ag: 0.750 0.750 0.750

---

[8]
An optimized crystal structure of Dy8TcAg2. Source: the Alexandria database, functional PBE.

Values from the calculation:
SG: No. 8
E above lowest polymorph: 70 meV per atom
final energy: -4.857 eV/atom
total magnetic moment: 0.00 μB per atom
energy of formation from the pure elements: -0.050 eV per atom

a b c (Å): 8.698 8.698 6.110
angles (deg): 104.09 104.09 127.44
Atoms (fractional coordinates):
Dy: 0.000 0.000 0.000
Dy: 0.083 0.464 0.236
Dy: 0.125 0.897 0.532
Dy: 0.433 0.668 0.897
Dy: 0.464 0.083 0.236
Dy: 0.552 0.552 0.370
Dy: 0.668 0.433 0.897
Dy: 0.897 0.125 0.532
Tc: 0.285 0.285 0.509
Ag: 0.572 0.999 0.726
Ag: 0.999 0.572 0.726

---

[9]
An optimized crystal structure of Dy5TcAg2. Source: the Alexandria database, functional PBE.

Values from the calculation:
SG: No. 55
final energy: -5.051 eV/atom
total magnetic moment: 0.00 μB per atom
energy of formation from the pure elements: -0.166 eV per atom

a b c (Å): 6.678 12.090 4.987
angles (deg): 90.00 90.00 90.00
Atoms (fractional coordinates):
Dy: 0.000 0.000 0.000
Dy: 0.140 0.287 0.000
Dy: 0.168 0.597 0.500
Dy: 0.332 0.097 0.500
Dy: 0.360 0.787 0.000
Dy: 0.500 0.500 0.000
Dy: 0.640 0.213 0.000
Dy: 0.668 0.903 0.500
Dy: 0.832 0.403 0.500
Dy: 0.860 0.713 0.000
Tc: 0.000 0.500 0.000
Tc: 0.500 0.000 0.000
Ag: 0.115 0.855 0.500
Ag: 0.385 0.355 0.500
Ag: 0.615 0.645 0.500
Ag: 0.885 0.145 0.500

---

[10]
An optimized crystal structure of Dy8Tc2Ag. Source: the Alexandria database, functional PBE.

Values from the calculation:
SG: No. 8
final energy: -5.538 eV/atom
total magnetic moment: 0.00 μB per atom
energy of formation from the pure elements: -0.047 eV per atom

a b c (Å): 7.737 7.737 5.629
angles (deg): 98.80 98.80 111.73
Atoms (fractional coordinates):
Dy: 0.000 0.000 0.000
Dy: 0.048 0.312 0.608
Dy: 0.143 0.616 0.198
Dy: 0.312 0.048 0.608
Dy: 0.447 0.711 0.787
Dy: 0.616 0.143 0.198
Dy: 0.711 0.447 0.787
Dy: 0.761 0.761 0.396
Tc: 0.067 0.693 0.698
Tc: 0.693 0.067 0.698
Ag: 0.381 0.381 0.180

---

[11]
An optimized crystal structure of Dy4TcAg. Source: the Alexandria database, functional PBE.

Values from the calculation:
SG: No. 12
E above lowest polymorph: 189 meV per atom
final energy: -5.264 eV/atom
total magnetic moment: 0.00 μB per atom
energy of formation from the pure elements: 0.007 eV per atom

a b c (Å): 4.880 4.880 7.068
angles (deg): 90.04 90.04 90.00
Atoms (fractional coordinates):
Dy: 0.000 0.500 0.233
Dy: 0.000 0.500 0.767
Dy: 0.500 0.000 0.233
Dy: 0.500 0.000 0.767
Tc: 0.000 0.000 0.000
Ag: 0.500 0.500 0.500

---

[12]
An optimized crystal structure of Dy8TcAg2. Source: the Alexandria database, functional PBE.

Values from the calculation:
SG: No. 12
E above lowest polymorph: 0 meV per atom
final energy: -4.927 eV/atom
total magnetic moment: 0.00 μB per atom
energy of formation from the pure elements: -0.120 eV per atom

a b c (Å): 9.028 9.028 6.897
angles (deg): 107.29 107.29 33.66
Atoms (fractional coordinates):
Dy: 0.027 0.027 0.294
Dy: 0.196 0.196 0.799
Dy: 0.340 0.340 0.536
Dy: 0.409 0.409 0.068
Dy: 0.591 0.591 0.932
Dy: 0.660 0.660 0.464
Dy: 0.804 0.804 0.201
Dy: 0.973 0.973 0.706
Tc: 0.500 0.500 0.500
Ag: 0.184 0.184 0.207
Ag: 0.816 0.816 0.793

---

Q: Among the records above, which one has the lowest final energy?
A: Dy8Tc2Ag

---

Q: What is the total magnetic moment in the eleventh record?
A: 0.00 μB per atom